Compound: UGe2Pd
Source: Alexandria via LeMat-Bulk
Functional: PBE-GGA
Structure: optimized geometry

Geometry as extended XYZ:
```
16
Lattice="6.7199 0.0000 0.0000 0.0000 6.7199 0.0000 0.0000 0.0000 6.7199" Properties=species:S:1:pos:R:3 pbc="T T T"
U 0.0000 0.0000 0.0000
U 0.0000 3.3600 3.3600
U 3.3600 0.0000 3.3600
U 3.3600 3.3600 0.0000
Ge 1.6800 1.6800 1.6800
Ge 1.6800 1.6800 5.0400
Ge 1.6800 5.0400 1.6800
Ge 1.6800 5.0400 5.0400
Ge 5.0400 1.6800 1.6800
Ge 5.0400 1.6800 5.0400
Ge 5.0400 5.0400 1.6800
Ge 5.0400 5.0400 5.0400
Pd 0.0000 0.0000 3.3600
Pd 0.0000 3.3600 0.0000
Pd 3.3600 0.0000 0.0000
Pd 3.3600 3.3600 3.3600
```

density = 10.72 Mg/m³
calculated total energy = -6.60 eV per atom
size of the total moment = 10.0 Bohr magnetons per cell
SG = Fm-3m (225)
crystal system = cubic

Compound: La2NiB2
Source: Alexandria via LeMat-Bulk
Functional: PBE-GGA
Structure: optimized geometry

Geometry as extended XYZ:
```
10
Lattice="6.9142 0.0000 0.0000 0.0000 6.9142 0.0000 0.0000 0.0000 3.8749" Properties=species:S:1:pos:R:3 pbc="T T T"
La 1.3518 2.1053 0.0000
La 2.1053 5.5624 0.0000
La 4.8089 1.3518 0.0000
La 5.5624 4.8089 0.0000
Ni 0.0000 0.0000 1.9374
Ni 3.4571 3.4571 1.9374
B 0.5706 4.0277 1.9374
B 2.8865 0.5706 1.9374
B 4.0277 6.3437 1.9374
B 6.3437 2.8865 1.9374
```

density = 6.42 Mg/m³
distance to the lowest polymorph of the same formula = 0.000 eV/atom
size of the total moment = 0.0 Bohr magnetons per cell
SG = P4/mbm (127)
crystal system = tetragonal

Compound: TlGa2Hg
Source: Alexandria via LeMat-Bulk
Functional: PBE-GGA
Structure: optimized geometry

Geometry as extended XYZ:
```
4
Lattice="3.6280 0.0000 0.0000 0.0000 3.6280 0.0000 0.0000 0.0000 7.2337" Properties=species:S:1:pos:R:3 pbc="T T T"
Tl 0.0000 0.0000 0.0000
Ga 1.8140 1.8140 1.9915
Ga 1.8140 1.8140 5.2422
Hg 0.0000 0.0000 3.6169
```

density = 9.50 Mg/m³
distance to the lowest polymorph of the same formula = 0.067 eV/atom
size of the total moment = 0.0 Bohr magnetons per cell
SG = P4/mmm (123)
crystal system = tetragonal